[1]
Nb2HOs PBE relaxed; ΔE to the lowest computed polymorph = 1.622 eV/f.u.; DFT total energy = -8.32 eV per atom; density = 10.59 Mg/m³
1.0
-2.2449 -1.7772 -3.3052
-3.8938 1.6387 -1.1292
-0.4458 2.1821 -3.7633
H Nb Os
1 2 1
Direct
0.0000 0.0000 0.0000
0.2500 0.2500 0.2500
0.7500 0.7500 0.7500
0.5000 0.5000 0.5000



[2]
NbHOs2 PBE relaxed; ΔE to the lowest computed polymorph = 0.000 eV/f.u.; DFT total energy = -8.61 eV per atom; density = 14.92 Mg/m³
1.0
-1.7869 -5.1835 0.6585
3.5478 -1.7146 -3.8689
3.2854 -3.9687 0.8305
H Nb Os
2 2 4
Direct
0.5000 0.5000 0.0000
0.2500 0.7500 0.5000
0.7500 0.2500 0.5000
0.0000 0.0000 0.0000
0.8750 0.7270 0.7500
0.2730 0.6250 0.2500
0.3750 0.5230 0.7500
0.4770 0.1250 0.2500



[3]
NbH2Os PBE relaxed; ΔE to the lowest computed polymorph = 0.000 eV/f.u.; DFT total energy = -6.93 eV per atom; density = 12.23 Mg/m³
1.0
-1.1220 -4.0621 -0.3407
3.8836 -1.1726 1.1911
0.1112 -2.6142 4.5680
H Nb Os
4 2 2
Direct
0.6541 0.1250 0.2500
0.0959 0.6250 0.2500
0.3750 0.3459 0.7500
0.8750 0.9041 0.7500
0.2500 0.7500 0.5000
0.5000 0.5000 0.0000
0.0000 0.0000 0.0000
0.7500 0.2500 0.5000



[4]
NbHOs3 PBE relaxed; ΔE to the lowest computed polymorph = 0.000 eV/f.u.; DFT total energy = -9.46 eV per atom; density = 17.61 Mg/m³
1.0
-0.9028 4.9268 2.5293
3.2307 -3.8701 2.4675
5.5728 0.8027 0.4255
Os Nb H
6 2 2
Direct
0.7201 0.0032 0.7483
0.2201 0.0032 0.7482
0.7186 0.5004 0.2525
0.7169 0.9968 0.2517
0.2182 0.4996 0.7475
0.2169 0.9968 0.2518
0.2180 0.4990 0.2763
0.7190 0.5010 0.7237
0.9678 0.4999 0.0007
0.4679 0.5001 0.9993



[5]
NbHOs2 PBE relaxed; ΔE to the lowest computed polymorph = 1.644 eV/f.u.; DFT total energy = -8.20 eV per atom; density = 14.24 Mg/m³
1.0
0.0000 3.0239 3.0239
3.0239 0.0000 3.0239
3.0239 3.0239 0.0000
H Os Nb
1 2 1
Direct
0.0000 0.0000 0.0000
0.7500 0.7500 0.7500
0.2500 0.2500 0.2500
0.5000 0.5000 0.5000



[6]
NbH2Os PBE relaxed; ΔE to the lowest computed polymorph = 2.173 eV/f.u.; DFT total energy = -6.39 eV per atom; density = 12.00 Mg/m³
1.0
0.0000 2.7024 2.7024
2.7024 0.0000 2.7024
2.7024 2.7024 0.0000
H Nb Os
2 1 1
Direct
0.7500 0.7500 0.7500
0.2500 0.2500 0.2500
0.0000 0.0000 0.0000
0.5000 0.5000 0.5000



[7]
NbHOs3 PBE relaxed; ΔE to the lowest computed polymorph = 0.149 eV/f.u.; DFT total energy = -9.43 eV per atom; density = 17.58 Mg/m³
1.0
-3.5801 -0.3974 1.6788
0.0880 -3.9042 -0.7367
1.7230 -0.6265 3.5259
Os H Nb
3 1 1
Direct
0.5000 0.0000 0.0000
0.0000 0.5000 0.0000
0.0000 0.0000 0.5000
0.0000 0.0000 0.0000
0.5000 0.5000 0.5000



[8]
Nb2H2Os PBE relaxed; ΔE to the lowest computed polymorph = 0.564 eV/f.u.; DFT total energy = -7.74 eV per atom; density = 10.80 Mg/m³
1.0
3.0114 0.0000 0.0000
0.0000 3.0114 0.0000
0.0000 0.0000 6.4075
Nb H Os
2 2 1
Direct
0.5000 0.5000 0.7271
0.5000 0.5000 0.2729
0.5000 0.0000 0.5000
0.0000 0.5000 0.5000
0.0000 0.0000 0.0000



| no. | calculated volume (Å³/atom) | DOS(E_F) (states/eV/f.u.) |
| --- | --- | --- |
| 1 | 14.78 | 3.30 |
| 2 | 13.20 | 3.75 |
| 3 | 9.68 | 1.72 |
| 4 | 12.54 | 3.90 |
| 5 | 13.82 | 4.03 |
| 6 | 9.87 | 1.67 |
| 7 | 12.55 | 4.04 |
| 8 | 11.62 | 2.60 |